Record 1
DFT (PBE) results for a geometry-optimized Ga3AsF structure.

Computed properties:
Raw total energy, eV per formula unit: -17.14
Formation energy from raw total energies, meV per atom: -308
Total magnetization, μB/cell: 0.0

Cell lengths 4.6704, 4.6704, 4.6704 Å; angles 90.00, 90.00, 90.00 degrees
Fractional positions:
Ga 0.0000 0.0000 0.5000
Ga 0.0000 0.5000 0.0000
Ga 0.5000 0.0000 0.0000
As 0.5000 0.5000 0.5000
F 0.0000 0.0000 0.0000

---

Record 2
DFT (PBE) results for a geometry-optimized GaAs3F structure.

Computed properties:
Raw total energy, eV per formula unit: -16.23
Formation energy from raw total energies, meV per atom: 524
Total magnetization, μB/cell: 0.0

Cell lengths 4.8975, 4.8975, 4.8975 Å; angles 90.00, 90.00, 90.00 degrees
Fractional positions:
Ga 0.0000 0.0000 0.0000
As 0.0000 0.0000 0.5000
As 0.0000 0.5000 0.0000
As 0.5000 0.0000 0.0000
F 0.5000 0.5000 0.5000

---

Record 3
DFT (PBE) results for a geometry-optimized GaAs3F structure.

Computed properties:
Raw total energy, eV per formula unit: -17.36
Formation energy from raw total energies, meV per atom: 298
Total magnetization, μB/cell: 0.0

Cell lengths 4.6321, 4.6321, 4.6321 Å; angles 90.00, 90.00, 90.00 degrees
Fractional positions:
Ga 0.0000 0.0000 0.0000
As 0.0000 0.5000 0.5000
As 0.5000 0.0000 0.5000
As 0.5000 0.5000 0.0000
F 0.5000 0.5000 0.5000